# PmZnCd (PBE-GGA, optimized geometry)
data_PmZnCd
_chemical_formula_sum 'Pm2 Zn2 Cd2'
_cell_length_a 4.8499
_cell_length_b 3.4847
_cell_length_c 8.3591
_cell_angle_alpha 90.00
_cell_angle_beta 90.00
_cell_angle_gamma 90.00
_space_group_name_H-M_alt 'P m m a'
_space_group_IT_number 51
_space_group_name_Hall '-P 2a 2a'
loop_
_atom_site_label
_atom_site_type_symbol
_atom_site_fract_x
_atom_site_fract_y
_atom_site_fract_z
Pm1 Pm 0.2500 0.0000 0.2307
Zn1 Zn 0.2500 0.5000 0.9207
Cd1 Cd 0.2500 0.5000 0.5890
# E_form in kcal/mol of atoms: -7.584
# Crystal system: orthorhombic
# Final energy in eV/cell: -15.85
# ΔE to the lowest computed polymorph in kJ/mol of formula units: 0
# ρ in g/cm³: 7.6
# DOS at the Fermi energy in states/eV per cell: 5.65
# Size of the total moment in μB/cell: 0.0



# PmZnCd4 (PBE-GGA, optimized geometry)
data_PmZnCd4
_chemical_formula_sum 'Pm4 Zn4 Cd16'
_cell_length_a 16.8575
_cell_length_b 7.1154
_cell_length_c 5.0118
_cell_angle_alpha 90.00
_cell_angle_beta 107.17
_cell_angle_gamma 90.00
_space_group_name_H-M_alt 'C 1 2/m 1'
_space_group_IT_number 12
_space_group_name_Hall '-C 2y'
loop_
_atom_site_label
_atom_site_type_symbol
_atom_site_fract_x
_atom_site_fract_y
_atom_site_fract_z
Pm1 Pm 0.2049 0.0000 0.2045
Zn1 Zn 0.0011 0.5000 0.7379
Cd1 Cd 0.0000 0.1828 0.0000
Cd2 Cd 0.1217 0.2300 0.6219
Cd3 Cd 0.1669 0.5000 0.1687
# E_form in kcal/mol of atoms: -2.900
# Crystal system: monoclinic
# Final energy in eV/cell: -41.76
# ΔE to the lowest computed polymorph in kJ/mol of formula units: 47
# ρ in g/cm³: 7.6
# DOS at the Fermi energy in states/eV per cell: 13.79
# Size of the total moment in μB/cell: 0.0



# PmZn5Cd7 (PBE-GGA, optimized geometry)
data_PmZn5Cd7
_chemical_formula_sum 'Pm2 Zn10 Cd14'
_cell_length_a 5.6460
_cell_length_b 9.5005
_cell_length_c 9.5936
_cell_angle_alpha 90.00
_cell_angle_beta 90.00
_cell_angle_gamma 90.00
_space_group_name_H-M_alt 'I m m 2'
_space_group_IT_number 44
_space_group_name_Hall 'I 2 -2'
loop_
_atom_site_label
_atom_site_type_symbol
_atom_site_fract_x
_atom_site_fract_y
_atom_site_fract_z
Pm1 Pm 0.0000 0.0000 0.0000
Zn1 Zn 0.0000 0.5000 0.7167
Zn2 Zn 0.2504 0.2413 0.2436
Cd1 Cd 0.0000 0.0000 0.3445
Cd2 Cd 0.0000 0.0000 0.6520
Cd3 Cd 0.0000 0.2913 0.4964
Cd4 Cd 0.0000 0.3464 0.9928
Cd5 Cd 0.0000 0.5000 0.2739
# E_form in kcal/mol of atoms: -2.944
# Crystal system: orthorhombic
# Final energy in eV/cell: -38.37
# ρ in g/cm³: 8.1
# DOS at the Fermi energy in states/eV per cell: 4.48
# Size of the total moment in μB/cell: 0.0



# PmZn2Cd5 (PBE-GGA, optimized geometry)
data_PmZn2Cd5
_chemical_formula_sum 'Pm2 Zn4 Cd10'
_cell_length_a 4.0974
_cell_length_b 8.2026
_cell_length_c 10.4765
_cell_angle_alpha 90.00
_cell_angle_beta 90.00
_cell_angle_gamma 90.00
_space_group_name_H-M_alt 'I m m m'
_space_group_IT_number 71
_space_group_name_Hall '-I 2 2'
loop_
_atom_site_label
_atom_site_type_symbol
_atom_site_fract_x
_atom_site_fract_y
_atom_site_fract_z
Pm1 Pm 0.0000 0.0000 0.0000
Zn1 Zn 0.0000 0.5000 0.2677
Cd1 Cd 0.0000 0.1949 0.3543
Cd2 Cd 0.0000 0.5000 0.0000
# E_form in kcal/mol of atoms: -3.707
# Crystal system: orthorhombic
# Final energy in eV/cell: -26.32
# ρ in g/cm³: 7.9
# DOS at the Fermi energy in states/eV per cell: 4.29
# Size of the total moment in μB/cell: 0.0



# PmZnCd3 (PBE-GGA, optimized geometry)
data_PmZnCd3
_chemical_formula_sum 'Pm2 Zn2 Cd6'
_cell_length_a 7.1555
_cell_length_b 4.4753
_cell_length_c 7.4693
_cell_angle_alpha 90.00
_cell_angle_beta 104.45
_cell_angle_gamma 90.00
_space_group_name_H-M_alt 'P 1 21/m 1'
_space_group_IT_number 11
_space_group_name_Hall '-P 2yb'
loop_
_atom_site_label
_atom_site_type_symbol
_atom_site_fract_x
_atom_site_fract_y
_atom_site_fract_z
Pm1 Pm 0.2051 0.2500 0.1689
Zn1 Zn 0.4673 0.2500 0.7589
Cd1 Cd 0.0644 0.2500 0.6578
Cd2 Cd 0.2948 0.7500 0.8924
Cd3 Cd 0.3442 0.7500 0.5178
# E_form in kcal/mol of atoms: -5.300
# Crystal system: monoclinic
# Final energy in eV/cell: -19.84
# ΔE to the lowest computed polymorph in kJ/mol of formula units: 0
# ρ in g/cm³: 7.9
# DOS at the Fermi energy in states/eV per cell: 5.55
# Size of the total moment in μB/cell: 0.0



# PmZn4Cd4 (PBE-GGA, optimized geometry)
data_PmZn4Cd4
_chemical_formula_sum 'Pm2 Zn8 Cd8'
_cell_length_a 6.3742
_cell_length_b 6.3742
_cell_length_c 9.3208
_cell_angle_alpha 90.00
_cell_angle_beta 90.00
_cell_angle_gamma 90.00
_space_group_name_H-M_alt 'P 42/n m c'
_space_group_IT_number 137
loop_
_space_group_symop_operation_xyz
'x,y,z'
'-x,-y,-z'
'-y+1/2,x,z+1/2'
'y+1/2,-x,-z+1/2'
'-x+1/2,-y+1/2,z'
'x+1/2,y+1/2,-z'
'y,-x+1/2,z+1/2'
'-y,x+1/2,-z+1/2'
'x+1/2,-y,-z'
'-x+1/2,y,z'
'-y,-x,-z+1/2'
'y,x,z+1/2'
'-x,y+1/2,-z'
'x,-y+1/2,z'
'y+1/2,x+1/2,-z+1/2'
'-y+1/2,-x+1/2,z+1/2'
loop_
_atom_site_label
_atom_site_type_symbol
_atom_site_fract_x
_atom_site_fract_y
_atom_site_fract_z
Pm1 Pm 0.2500 0.7500 0.2500
Zn1 Zn 0.0388 0.2500 0.0472
Cd1 Cd 0.0244 0.2500 0.3410
# E_form in kcal/mol of atoms: -1.069
# Crystal system: tetragonal
# Final energy in eV/cell: -27.85
# ρ in g/cm³: 7.5
# DOS at the Fermi energy in states/eV per cell: 8.43
# Size of the total moment in μB/cell: 0.0



# PmZnCd3 (PBE-GGA, optimized geometry)
data_PmZnCd3
_chemical_formula_sum 'Pm4 Zn4 Cd12'
_cell_length_a 8.9512
_cell_length_b 4.4296
_cell_length_c 11.7205
_cell_angle_alpha 90.00
_cell_angle_beta 90.00
_cell_angle_gamma 90.00
_space_group_name_H-M_alt 'P n m a'
_space_group_IT_number 62
_space_group_name_Hall '-P 2ac 2n'
loop_
_atom_site_label
_atom_site_type_symbol
_atom_site_fract_x
_atom_site_fract_y
_atom_site_fract_z
Pm1 Pm 0.1882 0.2500 0.0030
Zn1 Zn 0.1235 0.2500 0.6303
Cd1 Cd 0.0650 0.2500 0.4019
Cd2 Cd 0.0964 0.7500 0.2062
Cd3 Cd 0.1382 0.7500 0.7966
# E_form in kcal/mol of atoms: -5.204
# Crystal system: orthorhombic
# Final energy in eV/cell: -39.59
# ΔE to the lowest computed polymorph in kJ/mol of formula units: 2
# ρ in g/cm³: 7.8
# DOS at the Fermi energy in states/eV per cell: 10.36
# Size of the total moment in μB/cell: 0.0



# PmZn2Cd4 (PBE-GGA, optimized geometry)
data_PmZn2Cd4
_chemical_formula_sum 'Pm2 Zn4 Cd8'
_cell_length_a 4.4576
_cell_length_b 15.4656
_cell_length_c 4.4237
_cell_angle_alpha 90.00
_cell_angle_beta 90.00
_cell_angle_gamma 90.00
_space_group_name_H-M_alt 'C m m m'
_space_group_IT_number 65
_space_group_name_Hall '-C 2 2'
loop_
_atom_site_label
_atom_site_type_symbol
_atom_site_fract_x
_atom_site_fract_y
_atom_site_fract_z
Pm1 Pm 0.0000 0.0000 0.0000
Zn1 Zn 0.0000 0.4231 0.5000
Cd1 Cd 0.0000 0.1771 0.5000
Cd2 Cd 0.0000 0.3198 0.0000
# E_form in kcal/mol of atoms: -4.732
# Crystal system: orthorhombic
# Final energy in eV/cell: -24.79
# ρ in g/cm³: 7.9
# DOS at the Fermi energy in states/eV per cell: 7.93
# Size of the total moment in μB/cell: 0.0



# PmZn4Cd (PBE-GGA, optimized geometry)
data_PmZn4Cd
_chemical_formula_sum 'Pm1 Zn4 Cd1'
_cell_length_a 4.3833
_cell_length_b 4.3833
_cell_length_c 7.0310
_cell_angle_alpha 90.00
_cell_angle_beta 90.00
_cell_angle_gamma 120.00
_space_group_name_H-M_alt 'P 6/m m m'
_space_group_IT_number 191
_space_group_name_Hall '-P 6 2'
loop_
_atom_site_label
_atom_site_type_symbol
_atom_site_fract_x
_atom_site_fract_y
_atom_site_fract_z
Pm1 Pm 0.0000 0.0000 0.0000
Zn1 Zn 0.3333 0.6667 0.2789
Cd1 Cd 0.0000 0.0000 0.5000
# E_form in kcal/mol of atoms: -5.930
# Crystal system: hexagonal
# Final energy in eV/cell: -12.30
# ΔE to the lowest computed polymorph in kJ/mol of formula units: 0
# ρ in g/cm³: 7.4
# DOS at the Fermi energy in states/eV per cell: 1.96
# Size of the total moment in μB/cell: 0.0



# Pm4Zn2Cd (PBE-GGA, optimized geometry)
data_Pm4Zn2Cd
_chemical_formula_sum 'Pm12 Zn6 Cd3'
_cell_length_a 5.1467
_cell_length_b 5.1467
_cell_length_c 26.9585
_cell_angle_alpha 90.00
_cell_angle_beta 90.00
_cell_angle_gamma 120.00
_space_group_name_H-M_alt 'R -3 m'
_space_group_IT_number 166
_space_group_name_Hall '-R 3 2"'
loop_
_atom_site_label
_atom_site_type_symbol
_atom_site_fract_x
_atom_site_fract_y
_atom_site_fract_z
Pm1 Pm 0.0000 0.0000 0.1196
Pm2 Pm 0.0000 0.0000 0.2932
Zn1 Zn 0.0000 0.0000 0.4029
Cd1 Cd 0.0000 0.0000 0.5000
# E_form in kcal/mol of atoms: -1.321
# Crystal system: trigonal
# Final energy in eV/cell: -68.60
# ΔE to the lowest computed polymorph in kJ/mol of formula units: 79
# ρ in g/cm³: 6.6
# DOS at the Fermi energy in states/eV per cell: 30.80
# Size of the total moment in μB/cell: 0.0



# Pm2ZnCd16 (PBE-GGA, optimized geometry)
data_Pm2ZnCd16
_chemical_formula_sum 'Pm6 Zn3 Cd48'
_cell_length_a 10.0572
_cell_length_b 10.0572
_cell_length_c 14.8891
_cell_angle_alpha 90.00
_cell_angle_beta 90.00
_cell_angle_gamma 120.00
_space_group_name_H-M_alt 'R 3 m'
_space_group_IT_number 160
_space_group_name_Hall 'R 3 -2"'
loop_
_atom_site_label
_atom_site_type_symbol
_atom_site_fract_x
_atom_site_fract_y
_atom_site_fract_z
Pm1 Pm 0.0000 0.0000 0.0000
Pm2 Pm 0.0000 0.0000 0.3460
Zn1 Zn 0.0000 0.0000 0.5796
Cd1 Cd 0.0000 0.0000 0.7677
Cd2 Cd 0.0007 0.3029 0.6748
Cd3 Cd 0.0248 0.5124 0.5273
Cd4 Cd 0.0422 0.5211 0.1703
Cd5 Cd 0.0583 0.5292 0.8285
# E_form in kcal/mol of atoms: -3.169
# Crystal system: trigonal
# Final energy in eV/cell: -84.09
# ρ in g/cm³: 8.2
# DOS at the Fermi energy in states/eV per cell: 14.71
# Size of the total moment in μB/cell: 0.0



# Pm3Zn9Cd2 (PBE-GGA, optimized geometry)
data_Pm3Zn9Cd2
_chemical_formula_sum 'Pm6 Zn18 Cd4'
_cell_length_a 4.5334
_cell_length_b 8.9428
_cell_length_c 13.6299
_cell_angle_alpha 90.00
_cell_angle_beta 90.00
_cell_angle_gamma 90.00
_space_group_name_H-M_alt 'I m m m'
_space_group_IT_number 71
_space_group_name_Hall '-I 2 2'
loop_
_atom_site_label
_atom_site_type_symbol
_atom_site_fract_x
_atom_site_fract_y
_atom_site_fract_z
Pm1 Pm 0.0000 0.0000 0.0000
Pm2 Pm 0.0000 0.0000 0.2923
Zn1 Zn 0.0000 0.2786 0.1435
Zn2 Zn 0.0000 0.3615 0.3371
Zn3 Zn 0.0000 0.5000 0.0000
Cd1 Cd 0.0000 0.1874 0.5000
# E_form in kcal/mol of atoms: -7.285
# Crystal system: orthorhombic
# Final energy in eV/cell: -63.94
# ρ in g/cm³: 7.5
# DOS at the Fermi energy in states/eV per cell: 14.15
# Size of the total moment in μB/cell: 0.0